DFT (PBE) results for crystalline HfZr2Sc5 at its relaxed geometry.

Unit cell a=6.447 b=12.891 c=4.523 alpha=90.00 beta=90.00 gamma=90.00
Element x y z (fractional)
Hf 0.000 0.000 0.000
Hf 0.500 0.500 0.000
Zr 0.239 0.120 0.500
Zr 0.261 0.620 0.500
Zr 0.739 0.380 0.500
Zr 0.761 0.880 0.500
Sc 0.000 0.500 0.000
Sc 0.003 0.753 0.000
Sc 0.248 0.877 0.500
Sc 0.252 0.377 0.500
Sc 0.497 0.253 0.000
Sc 0.500 0.000 0.000
Sc 0.503 0.747 0.000
Sc 0.748 0.623 0.500
Sc 0.752 0.123 0.500
Sc 0.997 0.247 0.000

total magnetic moment: 0.00 μB per cell

=====

DFT (PBE) results for crystalline Hf2ZrSc2 at its relaxed geometry.

Unit cell a=11.675 b=11.675 c=4.505 alpha=90.00 beta=90.00 gamma=157.74
Element x y z (fractional)
Hf 0.154 0.846 0.750
Hf 0.250 0.750 0.250
Hf 0.750 0.250 0.750
Hf 0.846 0.154 0.250
Zr 0.348 0.652 0.750
Zr 0.652 0.348 0.250
Sc 0.054 0.946 0.250
Sc 0.446 0.554 0.250
Sc 0.554 0.446 0.750
Sc 0.946 0.054 0.750

ΔE to the lowest computed polymorph: 0.0000 eV per atom
total magnetic moment: 0.00 μB per cell

=====

DFT (PBE) results for crystalline HfZr4Sc4 at its relaxed geometry.

Unit cell a=7.810 b=3.192 c=8.681 alpha=90.00 beta=102.73 gamma=90.00
Element x y z (fractional)
Hf 0.000 0.000 0.000
Zr 0.015 0.500 0.686
Zr 0.333 0.500 0.205
Zr 0.667 0.500 0.795
Zr 0.985 0.500 0.314
Sc 0.312 0.000 0.532
Sc 0.338 0.000 0.883
Sc 0.662 0.000 0.117
Sc 0.688 0.000 0.468

ΔE to the lowest computed polymorph: 0.0000 eV per atom
total magnetic moment: 0.00 μB per cell

=====

DFT (PBE) results for crystalline Hf2ZrSc2 at its relaxed geometry.

Unit cell a=8.416 b=8.416 c=3.271 alpha=90.00 beta=90.00 gamma=90.00
Element x y z (fractional)
Hf 0.175 0.325 0.000
Hf 0.325 0.825 0.000
Hf 0.675 0.175 0.000
Hf 0.825 0.675 0.000
Zr 0.000 0.000 0.500
Zr 0.500 0.500 0.500
Sc 0.124 0.624 0.500
Sc 0.376 0.124 0.500
Sc 0.624 0.876 0.500
Sc 0.876 0.376 0.500

ΔE to the lowest computed polymorph: 0.1818 eV per atom
total magnetic moment: 0.00 μB per cell

=====

DFT (PBE) results for crystalline Hf3Zr3Sc at its relaxed geometry.

Unit cell a=8.539 b=8.539 c=5.094 alpha=90.00 beta=90.00 gamma=120.00
Element x y z (fractional)
Hf 0.046 0.234 0.250
Hf 0.188 0.954 0.250
Hf 0.234 0.188 0.750
Hf 0.766 0.812 0.250
Hf 0.812 0.046 0.750
Hf 0.954 0.766 0.750
Zr 0.092 0.471 0.750
Zr 0.378 0.908 0.750
Zr 0.471 0.378 0.250
Zr 0.529 0.622 0.750
Zr 0.622 0.092 0.250
Zr 0.908 0.529 0.250
Sc 0.333 0.667 0.250
Sc 0.667 0.333 0.750

ΔE to the lowest computed polymorph: 0.0000 eV per atom
total magnetic moment: 0.00 μB per cell

=====

DFT (PBE) results for crystalline Hf14ZrSc at its relaxed geometry.

Unit cell a=10.177 b=6.407 c=6.407 alpha=60.02 beta=90.00 gamma=90.00
Element x y z (fractional)
Hf 0.000 0.000 0.000
Hf 0.000 0.001 0.498
Hf 0.000 0.498 0.001
Hf 0.000 0.499 0.499
Hf 0.248 0.167 0.668
Hf 0.248 0.665 0.665
Hf 0.248 0.668 0.167
Hf 0.249 0.165 0.165
Hf 0.500 0.336 0.831
Hf 0.500 0.831 0.336
Hf 0.751 0.165 0.165
Hf 0.752 0.167 0.668
Hf 0.752 0.665 0.665
Hf 0.752 0.668 0.167
Zr 0.500 0.832 0.832
Sc 0.500 0.333 0.333

total magnetic moment: 0.00 μB per cell

=====

Respective calculated formation energy values: 28, 42, 6, 224, -20, 45 meV per atom.